# 1
PuFeSnRu (PBE-GGA, relaxed); density = 12.2 g/cm³; E_form = -0.153 eV per atom; crystal system = cubic; energy = -9.171 eV/atom
1.0
-3.3283 -3.0661 -1.0488
-2.3395 -2.1405 3.3947
-4.4574 1.0556 0.7721
Ru Fe Pu Sn
1 1 1 1
Direct
0.2500 0.2500 0.2500
0.7500 0.7500 0.7500
0.0000 0.0000 0.0000
0.5000 0.5000 0.5000



# 2
PuTaFeRu (PBE-GGA, relaxed); density = 14.3 g/cm³; E_form = 0.010 eV per atom; crystal system = cubic; energy = -10.971 eV/atom
1.0
-2.4307 -1.0684 3.7210
-3.9809 -2.2061 -0.4262
-0.3502 -4.3603 1.3270
Pu Ru Ta Fe
1 1 1 1
Direct
0.2500 0.2500 0.2500
0.0000 0.0000 0.0000
0.7500 0.7500 0.7500
0.5000 0.5000 0.5000



# 3
TbPuFeRu (PBE-GGA, relaxed); density = 12.0 g/cm³; E_form = -0.074 eV per atom; crystal system = cubic; energy = -9.250 eV/atom
1.0
-2.3110 -3.7196 -1.9367
-0.6312 -4.0111 2.5377
-4.3689 -1.1815 1.5633
Tb Fe Ru Pu
1 1 1 1
Direct
0.2500 0.2500 0.2500
0.5000 0.5000 0.5000
0.0000 0.0000 0.0000
0.7500 0.7500 0.7500



# 4
PuThFeRu (PBE-GGA, relaxed); density = 12.8 g/cm³; E_form = -0.068 eV per atom; crystal system = cubic; energy = -9.941 eV/atom
1.0
4.8750 0.0000 0.0000
2.4375 4.2219 0.0000
2.4375 1.4073 3.9804
Pu Th Ru Fe
1 1 1 1
Direct
0.5000 0.5000 0.5000
0.0000 0.0000 0.0000
0.2500 0.2500 0.2500
0.7500 0.7500 0.7500



# 5
TmPuFeRu (PBE-GGA, relaxed); density = 12.6 g/cm³; E_form = -0.143 eV per atom; crystal system = cubic; energy = -9.278 eV/atom
1.0
4.7409 0.0000 0.0000
2.3705 4.1057 0.0000
2.3705 1.3686 3.8709
Fe Pu Tm Ru
1 1 1 1
Direct
0.5000 0.5000 0.5000
0.2500 0.2500 0.2500
0.7500 0.7500 0.7500
0.0000 0.0000 0.0000



# 6
PuVFeRu (PBE-GGA, relaxed); density = 11.8 g/cm³; E_form = 0.072 eV per atom; crystal system = cubic; energy = -10.225 eV/atom
1.0
-3.4826 -1.1634 2.5733
-0.5068 -4.2633 1.2930
0.6608 -1.1363 4.2868
Pu V Fe Ru
1 1 1 1
Direct
0.2500 0.2500 0.2500
0.7500 0.7500 0.7500
0.5000 0.5000 0.5000
0.0000 0.0000 0.0000



# 7
PuZrFeRu (PBE-GGA, relaxed); density = 11.4 g/cm³; E_form = -0.165 eV per atom; crystal system = cubic; energy = -10.319 eV/atom
1.0
4.6654 0.0000 0.0000
2.3327 4.0403 0.0000
2.3327 1.3468 3.8093
Ru Pu Zr Fe
1 1 1 1
Direct
0.2500 0.2500 0.2500
0.0000 0.0000 0.0000
0.5000 0.5000 0.5000
0.7500 0.7500 0.7500



# 8
Pu3Fe5S12 (PBE-GGA, relaxed); density = 6.6 g/cm³; crystal system = cubic; energy = -7.245 eV/atom
1.0
-7.3234 0.6031 9.7333
5.0219 -11.0960 -0.6275
8.7931 8.3910 1.0024
Fe S Pu
20 48 12
Direct
0.3750 0.1250 0.7500
0.7500 0.1250 0.8750
0.5000 0.0000 0.5000
0.1250 0.3750 0.2500
0.7500 0.6250 0.3750
0.6250 0.7500 0.8750
0.6250 0.8750 0.2500
0.1250 0.7500 0.3750
0.0000 0.0000 0.5000
0.8750 0.6250 0.7500
0.0000 0.0000 0.0000
0.2500 0.3750 0.6250
0.5000 0.5000 0.5000
0.0000 0.5000 0.0000
0.5000 0.0000 0.0000
0.2500 0.8750 0.1250
0.5000 0.5000 0.0000
0.0000 0.5000 0.5000
0.8750 0.2500 0.6250
0.3750 0.2500 0.1250
0.9724 0.3839 0.2934
0.4724 0.6790 0.0885
0.6161 0.0276 0.2066
0.0276 0.4115 0.8210
0.3839 0.4115 0.0905
0.2934 0.8839 0.9724
0.3210 0.5276 0.4115
0.4095 0.1161 0.5885
0.5276 0.2066 0.1161
0.5885 0.6161 0.4095
0.2066 0.6790 0.0905
0.0885 0.1790 0.4724
0.1790 0.0905 0.7066
0.9724 0.5885 0.1790
0.8839 0.2934 0.4724
0.7934 0.4724 0.3839
0.1161 0.7066 0.5276
0.7934 0.3210 0.9095
0.1790 0.0885 0.9724
0.8210 0.9095 0.2934
0.5276 0.3210 0.9115
0.0885 0.9095 0.1161
0.4115 0.0276 0.3210
0.9095 0.0885 0.6161
0.4095 0.2934 0.3210
0.6790 0.4724 0.5885
0.5905 0.8839 0.4115
0.4724 0.7934 0.8839
0.9095 0.8210 0.7934
0.1161 0.4095 0.0885
0.0905 0.9115 0.3839
0.0276 0.6161 0.7066
0.7066 0.1161 0.0276
0.5905 0.7066 0.6790
0.6790 0.2066 0.5905
0.8839 0.5905 0.9115
0.8210 0.9115 0.0276
0.3210 0.7934 0.4095
0.6161 0.5885 0.9095
0.7066 0.5905 0.1790
0.9115 0.8210 0.5276
0.3839 0.9724 0.7934
0.2066 0.5276 0.6161
0.9115 0.0905 0.8839
0.5885 0.9724 0.6790
0.0905 0.1790 0.2066
0.2934 0.4095 0.8210
0.4115 0.3839 0.5905
0.6250 0.3750 0.7500
0.1250 0.8750 0.7500
0.1250 0.2500 0.8750
0.3750 0.6250 0.2500
0.6250 0.2500 0.3750
0.8750 0.1250 0.2500
0.3750 0.7500 0.6250
0.2500 0.1250 0.3750
0.2500 0.6250 0.8750
0.7500 0.8750 0.6250
0.7500 0.3750 0.1250
0.8750 0.7500 0.1250



# 9
Pu3Tl3FeS8 (PBE-GGA, relaxed); density = 6.8 g/cm³; crystal system = monoclinic; energy = -7.059 eV/atom
1.0
7.8532 -0.0177 -0.0207
-3.9419 6.8287 -0.0260
-0.0096 -4.5276 7.5772
S Pu Tl Fe
8 3 3 1
Direct
0.7818 0.0335 0.3146
0.2559 0.0354 0.3150
0.2182 0.4371 0.6855
0.7320 0.4659 0.7000
0.7818 0.5629 0.3145
0.2182 0.9665 0.6854
0.7441 0.9646 0.6850
0.2680 0.5341 0.3000
0.5000 0.5000 0.5000
0.0000 0.5000 0.5000
0.5000 0.0000 0.5000
0.5000 0.5000 0.0000
0.0000 0.0000 0.0000
0.0000 0.5000 0.0000
0.0000 0.0000 0.5000



# 10
Pu3FeSb (PBE-GGA, relaxed); density = 12.1 g/cm³; crystal system = cubic; energy = -11.318 eV/atom
1.0
5.0016 0.0000 0.0000
0.0000 5.0016 0.0000
0.0000 0.0000 5.0016
Pu Fe Sb
3 1 1
Direct
0.5000 0.0000 0.0000
0.0000 0.0000 0.5000
0.0000 0.5000 0.0000
0.0000 0.0000 0.0000
0.5000 0.5000 0.5000



# 11
Pu6FeSb10 (PBE-GGA, relaxed); density = 10.4 g/cm³; crystal system = trigonal; energy = -8.448 eV/atom
1.0
-0.6777 3.8751 -4.6611
-0.0958 -6.9971 -5.8032
-7.7759 3.0036 3.6276
Pu Sb Fe
6 10 1
Direct
0.2536 0.6139 0.6139
0.2536 0.0000 0.3861
0.7464 0.6139 0.0000
0.7464 0.3861 0.3861
0.7464 0.0000 0.6139
0.2536 0.3861 0.0000
0.7590 0.2414 0.0000
0.5000 0.3333 0.6667
0.0000 0.6667 0.3333
0.2410 0.7586 0.0000
0.7590 0.7586 0.7586
0.7590 0.0000 0.2414
0.2410 0.0000 0.7586
0.0000 0.3333 0.6667
0.5000 0.6667 0.3333
0.2410 0.2414 0.2414
0.5000 0.0000 0.0000



# 12
PuFe4Sb (PBE-GGA, relaxed); density = 10.9 g/cm³; crystal system = cubic; energy = -8.751 eV/atom
1.0
-4.9667 -0.6219 0.3672
-2.5708 -1.9809 -3.8284
-1.9286 -4.6168 0.3941
Sb Fe Pu
1 4 1
Direct
0.0000 0.0000 0.0000
0.1226 0.6258 0.6258
0.6258 0.6258 0.6258
0.6258 0.6258 0.1226
0.6258 0.1226 0.6258
0.2500 0.2500 0.2500



# 13
Pu2ScFe (PBE-GGA, relaxed); density = 11.9 g/cm³; E_form = 0.538 eV per atom; crystal system = trigonal; energy = -10.327 eV/atom
1.0
-1.8546 1.8255 1.3566
-1.0686 -0.6918 2.6442
7.5095 5.4608 6.0918
Fe Pu Sc
1 2 1
Direct
0.5000 0.5000 0.5000
0.9091 0.9091 0.2728
0.0909 0.0909 0.7272
0.0000 0.0000 0.0000



# 14
PuSc2Fe2 (PBE-GGA, relaxed); density = 8.4 g/cm³; E_form = -0.144 eV per atom; crystal system = monoclinic; energy = -8.928 eV/atom
1.0
-1.9656 -4.8914 0.7415
-1.0266 -3.0728 -4.2241
6.1885 -3.8373 -0.2351
Fe Sc Pu
4 4 2
Direct
0.2708 0.9931 0.4939
0.9931 0.2708 0.9939
0.7292 0.0069 0.5061
0.0069 0.7292 0.0061
0.7855 0.5177 0.3492
0.2145 0.4823 0.6508
0.5177 0.7855 0.8492
0.4823 0.2145 0.1508
0.1523 0.8477 0.2500
0.8477 0.1523 0.7500



# 15
PuScFe2 (PBE-GGA, relaxed); density = 9.9 g/cm³; E_form = -0.042 eV per atom; crystal system = tetragonal; energy = -9.439 eV/atom
1.0
-0.5344 2.9045 -1.1965
-3.4982 -1.6545 -2.4538
-2.8579 0.9020 3.4661
Fe Pu Sc
2 1 1
Direct
0.0000 0.0000 0.5000
0.0000 0.5000 0.0000
0.5000 0.5000 0.5000
0.5000 0.0000 0.0000



# 16
PuSc2Fe (PBE-GGA, relaxed); density = 8.0 g/cm³; E_form = 0.258 eV per atom; relative energy among the computed polymorphs = 262 meV/atom; crystal system = cubic; energy = -8.606 eV/atom
1.0
-3.4292 -1.0903 -3.2458
-2.7072 -3.9774 0.5787
-4.6821 0.4082 1.1920
Sc Pu Fe
2 1 1
Direct
0.2502 0.2502 0.2495
0.7498 0.7498 0.7505
0.5000 0.5000 0.5000
0.0000 0.0000 0.0000



# 17
PuSc2Fe (PBE-GGA, relaxed); density = 7.9 g/cm³; E_form = -0.003 eV per atom; relative energy among the computed polymorphs = 0 meV/atom; crystal system = tetragonal; energy = -8.868 eV/atom
1.0
-1.5325 1.5933 -2.2136
-0.6682 -2.6811 -1.4672
-7.1108 -0.6612 4.4468
Sc Pu Fe
2 1 1
Direct
0.0000 0.0000 0.1783
0.0000 0.0000 0.8217
0.5000 0.5000 0.5000
0.5000 0.5000 0.0000



# 18
PuScFe4 (PBE-GGA, relaxed); density = 9.7 g/cm³; E_form = 0.023 eV per atom; crystal system = cubic; energy = -9.063 eV/atom
1.0
4.9844 0.0000 0.0000
2.4922 4.3166 0.0000
2.4922 1.4389 4.0698
Fe Sc Pu
4 1 1
Direct
0.6250 0.6250 0.1250
0.6250 0.6250 0.6250
0.1250 0.6250 0.6250
0.6250 0.1250 0.6250
0.0000 0.0000 0.0000
0.2500 0.2500 0.2500



# 19
Pu3Fe5Se12 (PBE-GGA, relaxed); density = 7.3 g/cm³; crystal system = cubic; energy = -6.968 eV/atom
1.0
13.2483 0.0000 0.0000
-4.4161 12.4906 0.0000
-4.4161 -6.2453 10.8172
Se Pu Fe
48 12 20
Direct
0.4127 0.3854 0.5879
0.3248 0.5273 0.4127
0.1752 0.0879 0.7025
0.7975 0.3248 0.9121
0.5273 0.3248 0.9127
0.0273 0.6146 0.7025
0.5873 0.9727 0.6752
0.0879 0.1752 0.2025
0.4121 0.2975 0.3248
0.0873 0.1752 0.4727
0.6146 0.0273 0.2025
0.2975 0.8854 0.9727
0.4727 0.6752 0.0873
0.5873 0.6146 0.4121
0.7025 0.5879 0.1752
0.6752 0.2025 0.5879
0.8248 0.9121 0.2975
0.4727 0.7975 0.8854
0.8854 0.5879 0.9127
0.5273 0.2025 0.1146
0.9727 0.5873 0.1752
0.3248 0.7975 0.4121
0.0879 0.9127 0.3854
0.5879 0.8854 0.4127
0.9127 0.0879 0.8854
0.6752 0.4727 0.5873
0.8854 0.2975 0.4727
0.3854 0.9727 0.7975
0.3854 0.4127 0.0879
0.7975 0.4727 0.3854
0.9121 0.8248 0.7975
0.2025 0.5273 0.6146
0.8248 0.9127 0.0273
0.4127 0.0273 0.3248
0.7025 0.1146 0.0273
0.0873 0.9121 0.1146
0.2025 0.6752 0.0879
0.5879 0.7025 0.6752
0.0273 0.4127 0.8248
0.1752 0.0873 0.9727
0.2975 0.4121 0.8248
0.9121 0.0873 0.6146
0.6146 0.5873 0.9121
0.9127 0.8248 0.5273
0.9727 0.3854 0.2975
0.1146 0.4121 0.0873
0.1146 0.7025 0.5273
0.4121 0.1146 0.5873
0.6250 0.2500 0.3750
0.2500 0.6250 0.8750
0.2500 0.1250 0.3750
0.1250 0.2500 0.8750
0.3750 0.6250 0.2500
0.7500 0.8750 0.6250
0.8750 0.7500 0.1250
0.8750 0.1250 0.2500
0.6250 0.3750 0.7500
0.1250 0.8750 0.7500
0.3750 0.7500 0.6250
0.7500 0.3750 0.1250
0.1250 0.7500 0.3750
0.0000 0.0000 0.5000
0.5000 0.0000 0.0000
0.2500 0.3750 0.6250
0.3750 0.1250 0.7500
0.0000 0.5000 0.0000
0.5000 0.5000 0.0000
0.0000 0.5000 0.5000
0.6250 0.8750 0.2500
0.2500 0.8750 0.1250
0.8750 0.2500 0.6250
0.7500 0.1250 0.8750
0.1250 0.3750 0.2500
0.8750 0.6250 0.7500
0.6250 0.7500 0.8750
0.5000 0.0000 0.5000
0.7500 0.6250 0.3750
0.5000 0.5000 0.5000
0.3750 0.2500 0.1250
0.0000 0.0000 0.0000



| no. | total magnetization (μB/cell) |
| --- | --- |
| 1 | 2.71 |
| 2 | 3.54 |
| 3 | 2.54 |
| 4 | 3.39 |
| 5 | 2.61 |
| 6 | 4.51 |
| 7 | 3.48 |
| 8 | 8.39 |
| 9 | 0.16 |
| 10 | 15.75 |
| 11 | 32.85 |
| 12 | 2.59 |
| 13 | 11.49 |
| 14 | 6.52 |
| 15 | 2.08 |
| 16 | 4.57 |
| 17 | 6.30 |
| 18 | 10.74 |
| 19 | 106.45 |